1.
First-principles (PBE-GGA) data for a relaxed Mg2CdPt crystal, as listed in the Alexandria database.

Cell lengths 4.682, 4.682, 4.682 Å; angles 60.00, 60.00, 60.00 degrees
Element x y z (fractional)
Pt1 0.750 0.750 0.750
Mg1 0.000 0.000 0.000
Mg2 0.250 0.250 0.250
Cd1 0.500 0.500 0.500

Summary:
Its space group is F-43m. The raw total energy comes out at -2.960 eV per atom. Its crystal system is cubic.


2.
First-principles (PBE-GGA) data for a relaxed NaMgNb crystal, as listed in the Alexandria database.

Cell lengths 4.739, 5.536, 10.454 Å; angles 90.00, 90.00, 90.00 degrees
Element x y z (fractional)
Mg1 0.250 0.750 0.513
Mg2 0.750 0.750 0.987
Mg3 0.250 0.250 0.013
Mg4 0.750 0.250 0.487
Nb1 0.250 0.750 0.796
Nb2 0.750 0.250 0.204
Nb3 0.750 0.750 0.704
Nb4 0.250 0.250 0.296
Na1 0.750 0.250 0.839
Na2 0.750 0.750 0.339
Na3 0.250 0.750 0.161
Na4 0.250 0.250 0.661

Summary:
Its space group is Cmcm. The raw total energy comes out at -3.690 eV per atom. The calculation puts the energy relative to the lowest polymorph listed for this composition at 460 meV/atom. Its crystal system is orthorhombic.


3.
First-principles (PBE-GGA) data for a relaxed AsSe2Cl crystal, as listed in the Alexandria database.

Cell lengths 4.684, 4.684, 7.710 Å; angles 90.00, 90.00, 134.45 degrees
Element x y z (fractional)
Cl1 0.500 0.500 0.750
Se1 0.000 0.000 0.477
Se2 0.000 0.000 0.023
As1 0.500 0.500 0.250

Summary:
Its space group is Cmmm. The raw total energy comes out at -3.168 eV per atom. Its formation energy from raw total energies is 198.3 meV/atom. The calculation puts the energy relative to the lowest polymorph listed for this composition at 394 meV/atom. Its crystal system is orthorhombic.


4.
First-principles (PBE-GGA) data for a relaxed PrTa2B6 crystal, as listed in the Alexandria database.

Cell lengths 3.261, 5.861, 5.861 Å; angles 76.68, 73.92, 73.92 degrees
Element x y z (fractional)
B1 0.500 0.354 0.646
B2 0.500 0.646 0.354
B3 0.697 0.069 0.537
B4 0.303 0.463 0.931
B5 0.697 0.537 0.069
B6 0.303 0.931 0.463
Pr1 0.000 0.000 0.000
Ta1 0.840 0.661 0.661
Ta2 0.160 0.339 0.339

Summary:
Its space group is C2/m. The raw total energy comes out at -8.161 eV per atom. Its crystal system is monoclinic.